The following is a PBE+U calculation of a relaxed VSnO2 crystal, from Alexandria.

Calculated values
Volume in A^3/atom: 14.283
M_tot in μB per formula unit: 1.94
Energy in eV per formula unit: -27.6

abc: 6.958 6.958 6.958
angles: 26.03 26.03 26.03
Last column: magnetic moment on the atom in μB.
Fractional coordinates of all 4 atoms:
O (0.884, 0.884, 0.884)  -0.03
O (0.116, 0.116, 0.116)  -0.03
V (0.500, 0.500, 0.500)  1.90
Sn (0.000, 0.000, 0.000)  -0.01